(1)
## Ta4Au (PBE)

Data for a relaxed structure of Ta4Au.

V in Å³/cell: 112
Energy relative to the elements in eV/atom: 1.24
DFT total energy in eV/atom: -8.90
Excess energy over the best structure of this formula in the dataset in meV per atom: 1250

a = 5.2543 Å, b = 5.2543 Å, c = 5.2543 Å
α = 109.47°, β = 109.47°, γ = 109.47°
Last column: nearest neighbours and their distance in Å.
Atoms (fractional coordinates):
Ta (0.0000, 0.0000, 0.5000)  2 Au 2.63
Ta (0.0000, 0.5000, 0.0000)  2 Au 2.63
Ta (0.5000, 0.0000, 0.0000)  2 Au 2.63
Ta (0.5000, 0.5000, 0.5000)  2 Au 2.63
Au (0.0000, 0.0000, 0.0000)  8 Ta 2.63



(2)
## ZrSb2Os (PBE)

Data for a relaxed structure of ZrSb2Os.

V in Å³/cell: 83
ΔE_f (raw) in eV/atom: 0.01
DFT total energy in eV/atom: -6.99
Excess energy over the best structure of this formula in the dataset in meV per atom: 211

a = 3.6444 Å, b = 3.6444 Å, c = 6.2799 Å
α = 90.00°, β = 90.00°, γ = 90.00°
Last column: nearest neighbours and their distance in Å.
Atoms (fractional coordinates):
Zr (0.0000, 0.0000, 0.0000)  5 Sb 2.87-2.98, 4 Os 3.14
Sb (0.0000, 0.0000, 0.4744)  4 Os 2.84, 1 Zr 2.98
Sb (0.5000, 0.5000, 0.7990)  4 Zr 2.87, 1 Os 3.05
Os (0.5000, 0.5000, 0.2844)  5 Sb 2.84-3.05, 4 Zr 3.14